! KVPHO6, optimized geometry, DFT PBE with a Hubbard U; values from VASP
! * total energy: -534.0 eV/cell
! * total magnetic moment: 0.0 μB/cell
! * theoretical density: 2.61 g/cm3
&SYSTEM
  ibrav = 0, nat = 80, ntyp = 5
/
ATOMIC_SPECIES
K 39.10 K.upf
P 30.97 P.upf
O 16.00 O.upf
V 50.94 V.upf
H 1.01 H.upf
CELL_PARAMETERS angstrom
-4.7606 -1.6921 -4.5245
-0.5691 -8.5798 3.8076
-12.3347 5.6416 10.8686
ATOMIC_POSITIONS angstrom
K -8.6571 1.4935 6.1828
K -14.6442 2.2970 7.0986
K -3.0203 -6.9273 3.0531
K -15.0917 -2.0508 8.8475
K -8.5599 -1.7759 2.2200
K -9.0074 -6.1238 3.9689
K -2.5728 -2.5795 1.3042
K -9.1047 -2.8544 7.9317
P -4.5973 -1.6992 -1.7061
P -5.2995 -6.1376 -0.1992
P -11.6137 -5.5306 6.2175
P -6.0508 0.9003 3.9342
P -13.0672 -2.9311 11.8579
P -10.9115 -1.0923 4.7106
P -12.3650 1.5073 10.3510
P -6.7530 -3.5380 5.4411
O -10.0099 -0.0745 4.0432
O -11.5124 2.2941 5.8817
O -4.2431 -5.4478 -1.1481
O -4.5759 1.4006 3.8773
O -10.3795 -2.5086 4.2598
O -7.4472 -5.0810 1.8812
O -10.8111 -1.0326 6.2648
O -3.9349 -1.1495 -3.0294
O -13.8172 -1.6618 11.5103
O -10.6877 -6.8069 6.1412
O -6.8534 -3.5977 3.8870
O -12.1542 -1.6113 8.5984
O -4.4280 -0.6018 -0.6126
O -11.5455 -2.6787 12.1253
O -6.9768 2.1766 4.0105
O -12.6817 1.1062 8.8712
O -11.3320 -4.7332 4.9609
O -6.9471 -0.7145 0.1823
O -9.7613 3.4279 8.6983
O -12.4074 -0.9540 4.2698
O -13.9053 -2.7452 5.7817
O -11.2711 -4.7389 7.5240
O -10.9589 0.9697 10.7547
O -5.5103 -3.0190 1.5534
O -6.1190 -1.9516 -1.9736
O -7.2850 -2.1217 5.8919
O -6.3934 0.1086 2.6278
O -13.7296 -3.4808 13.1812
O -4.4042 -4.5381 3.5595
O -7.9032 -8.0583 1.4534
O -6.3325 0.1029 5.1908
O -6.7056 -5.6000 -0.6029
O -13.2365 -4.0285 10.7643
O -12.4950 2.9969 10.5926
O -5.2572 -3.6763 5.8819
O -3.7592 -1.8851 4.3701
O -13.2603 -0.0922 6.5922
O -3.9041 -0.1716 1.8606
O -3.8474 -2.9685 -1.3586
O -7.6546 -4.5558 6.1085
O -13.7604 -4.4587 8.2912
O -6.1522 -6.9244 4.2701
O -5.1695 -7.6272 -0.4409
O -13.4214 0.8175 11.2998
O -10.7174 -3.9158 9.9695
O -10.2173 0.4507 8.2705
O -13.0887 -6.0309 6.2744
O -4.9828 -5.7365 1.2805
V -11.8844 -0.2656 7.7220
V -9.9770 -3.7764 11.7090
V -14.0651 -1.2030 5.2838
V -5.5068 0.0834 0.8809
V -7.6875 -0.8539 -1.5572
V -5.7801 -4.3647 2.4298
V -12.1577 -4.7138 9.2708
V -3.5994 -3.4273 4.8679
H -7.4926 -5.6841 7.0735
H -10.8258 -3.3673 4.6310
H -10.1719 1.0538 3.0782
H -6.8387 -1.2630 5.5207
H -4.8340 -8.8349 0.3713
H -13.4844 -0.2166 11.3333
H -4.1801 -4.4137 -1.1815
H -12.8305 4.2046 9.7804